*A*
Compound: Ga2Si2S
Source: Alexandria
Functional: GGA-PBE
Structure: optimized geometry

The value obtained for the density is 3.8 g cm⁻³.

The structure belongs to space group P3m1 (No. 156); the cell edges are 3.7283, 3.7283 and 8.3714 Å and the angles 90.00°, 90.00° and 120.00°. The asymmetric unit holds Ga at (0.0000, 0.0000, 0.0000), Ga at (0.3333, 0.6667, 0.7712), Si at (0.0000, 0.0000, 0.3356), Si at (0.6667, 0.3333, 0.2202) and S at (0.0000, 0.0000, 0.6047).

=====

*B*
Compound: Ga2Si2S
Source: Alexandria
Functional: GGA-PBE
Structure: optimized geometry

The value obtained for the density is 3.8 g cm⁻³.

The structure belongs to space group R3m (No. 160, hexagonal axes); the cell edges are 3.7493, 3.7493 and 24.3642 Å and the angles 90.00°, 90.00° and 120.00°. The asymmetric unit holds Ga at (0.0000, 0.0000, 0.0000), Ga at (0.0000, 0.0000, 0.2574), Si at (0.0000, 0.0000, 0.5189), Si at (0.0000, 0.0000, 0.8136) and S at (0.0000, 0.0000, 0.7218).

=====

Most stable: *B*

=====

*A*
Compound: Ga2Si2S
Source: Alexandria
Functional: GGA-PBE
Structure: optimized geometry

The value obtained for the density is 3.3 g cm⁻³.

The structure belongs to space group P1 (No. 1); the cell edges are 3.7848, 5.7348 and 5.9829 Å and the angles 77.94°, 71.70° and 71.94°. The asymmetric unit holds Ga at (0.0000, 0.0000, 0.0000), Ga at (0.1433, 0.3349, 0.3782), Si at (0.2401, 0.5577, 0.9746), Si at (0.8986, 0.4169, 0.7884) and S at (0.7629, 0.0499, 0.4050).

=====

*B*
Compound: Ga2Si2S
Source: Alexandria
Functional: GGA-PBE
Structure: optimized geometry

The value obtained for the density is 3.6 g cm⁻³.

The structure belongs to space group Pm (No. 6); the cell edges are 4.6936, 3.7435 and 6.2253 Å and the angles 90.00°, 107.18° and 90.00°. The asymmetric unit holds Ga at (0.0000, 0.0000, 0.0000), Ga at (0.0368, 0.0000, 0.6112), Si at (0.3620, 0.5000, 0.2342), Si at (0.6744, 0.0000, 0.2379) and S at (0.3586, 0.5000, 0.5935).

=====

Most stable: *A*

=====

*A*
Compound: Ga2Si2S
Source: Alexandria
Functional: GGA-PBE
Structure: optimized geometry

The value obtained for the density is 3.6 g cm⁻³.

The structure belongs to space group P1 (No. 1); the cell edges are 3.9443, 5.4512 and 5.5260 Å and the angles 113.08°, 96.15° and 103.40°. The asymmetric unit holds Ga at (0.0000, 0.0000, 0.0000), Ga at (0.4524, 0.1502, 0.7472), Si at (0.3735, 0.6824, 0.3841), Si at (0.8056, 0.6039, 0.1134) and S at (0.1408, 0.3301, 0.4809).

=====

*B*
Compound: Ga2Si2S
Source: Alexandria
Functional: GGA-PBE
Structure: optimized geometry

The value obtained for the density is 3.9 g cm⁻³.

The structure belongs to space group Cm (No. 8); the cell edges are 16.5046, 3.4114 and 3.4740 Å and the angles 90.00°, 90.19° and 90.00°. The asymmetric unit holds Ga at (0.0000, 0.0000, 0.0000), Ga at (0.0824, 0.5000, 0.5120), Si at (0.2319, 0.5000, 0.5004), Si at (0.2689, 0.0000, 0.0023) and S at (0.3996, 0.0000, 0.1184).

=====

*C*
Compound: Ga2Si2S
Source: Alexandria
Functional: GGA-PBE
Structure: optimized geometry

The value obtained for the density is 4.0 g cm⁻³.

The structure belongs to space group P1 (No. 1); the cell edges are 4.9408, 4.9429 and 4.9845 Å and the angles 115.98°, 116.18° and 90.20°. The asymmetric unit holds Ga at (0.0000, 0.0000, 0.0000), Ga at (0.2710, 0.7322, 0.4995), Si at (0.5805, 0.1455, 0.1853), Si at (0.8544, 0.4200, 0.8145) and S at (0.5041, 0.4944, 0.9987).

=====

Most stable: *A*

=====

*A*
Compound: Ga2Si2S
Source: Alexandria
Functional: GGA-PBE
Structure: optimized geometry

The value obtained for the density is 3.6 g cm⁻³.

The structure belongs to space group Cm (No. 8); the cell edges are 11.5366, 3.7052 and 4.9191 Å and the angles 90.00°, 94.20° and 90.00°. The asymmetric unit holds Ga at (0.0000, 0.0000, 0.0000), Ga at (0.1914, 0.5000, 0.6231), Si at (0.1934, 0.0000, 0.2513), Si at (0.2933, 0.5000, 0.0777) and S at (0.4906, 0.0000, 0.6864).

=====

*B*
Compound: Ga2Si2S
Source: Alexandria
Functional: GGA-PBE
Structure: optimized geometry

The value obtained for the density is 4.1 g cm⁻³.

The structure belongs to space group P1 (No. 1); the cell edges are 3.2554, 3.8130 and 8.2953 Å and the angles 80.55°, 78.94° and 66.05°. The asymmetric unit holds Ga at (0.0000, 0.0000, 0.0000), Ga at (0.4180, 0.4506, 0.7811), Si at (0.2545, 0.1201, 0.3576), Si at (0.6036, 0.5772, 0.1990) and S at (0.7227, 0.9815, 0.5545).

=====

Most stable: *A*

=====

*A*
Compound: Ga2Si2S
Source: Alexandria
Functional: GGA-PBE
Structure: optimized geometry

The value obtained for the density is 3.3 g cm⁻³.

The structure belongs to space group P3m1 (No. 156); the cell edges are 3.7104, 3.7104 and 9.5862 Å and the angles 90.00°, 90.00° and 120.00°. The asymmetric unit holds Ga at (0.0000, 0.0000, 0.0000), Ga at (0.0000, 0.0000, 0.4494), Si at (0.0000, 0.0000, 0.7481), Si at (0.6667, 0.3333, 0.6466) and S at (0.3333, 0.6667, 0.1099).

=====

*B*
Compound: Ga2Si2S
Source: Alexandria
Functional: GGA-PBE
Structure: optimized geometry

The value obtained for the density is 3.8 g cm⁻³.

The structure belongs to space group P1 (No. 1); the cell edges are 3.7062, 3.7126 and 8.5901 Å and the angles 78.50°, 78.18° and 60.18°. The asymmetric unit holds Ga at (0.0000, 0.0000, 0.0000), Ga at (0.4049, 0.3976, 0.7737), Si at (0.2553, 0.2418, 0.2250), Si at (0.8840, 0.8724, 0.3413) and S at (0.7922, 0.7820, 0.6093).

=====

Most stable: *A*

=====

*A*
Compound: Ga2Si2S
Source: Alexandria
Functional: GGA-PBE
Structure: optimized geometry

The value obtained for the density is 3.4 g cm⁻³.

The structure belongs to space group Cmm2 (No. 35); the cell edges are 3.7271, 14.1162 and 4.2424 Å and the angles 90.00°, 90.00° and 90.00°. The asymmetric unit holds Ga at (0.0000, 0.1150, 0.0000), Si at (0.0000, 0.2000, 0.5011) and S at (0.0000, 0.5000, 0.0861).

=====

*B*
Compound: Ga2Si2S
Source: Alexandria
Functional: GGA-PBE
Structure: optimized geometry

The value obtained for the density is 3.8 g cm⁻³.

The structure belongs to space group Cm (No. 8); the cell edges are 6.6139, 3.6855 and 8.3147 Å and the angles 90.00°, 97.99° and 90.00°. The asymmetric unit holds Ga at (0.0000, 0.0000, 0.0000), Ga at (0.1485, 0.5000, 0.7860), Si at (0.1342, 0.0000, 0.5473), Si at (0.4421, 0.0000, 0.4364) and S at (0.3614, 0.0000, 0.1635).

=====

Most stable: *A*

=====

*A*
Compound: Ga2Si2S
Source: Alexandria
Functional: GGA-PBE
Structure: optimized geometry

The value obtained for the density is 3.6 g cm⁻³.

The structure belongs to space group P1 (No. 1); the cell edges are 4.8993, 4.9773 and 5.2883 Å and the angles 67.07°, 62.44° and 82.98°. The asymmetric unit holds Ga at (0.0000, 0.0000, 0.0000), Ga at (0.4750, 0.2304, 0.2266), Si at (0.0046, 0.5234, 0.3934), Si at (0.4759, 0.3503, 0.6820) and S at (0.1798, 0.7363, 0.6059).

=====

*B*
Compound: Ga2Si2S
Source: Alexandria
Functional: GGA-PBE
Structure: optimized geometry

The value obtained for the density is 3.5 g cm⁻³.

The structure belongs to space group P1 (No. 1); the cell edges are 3.7295, 3.8640 and 8.6665 Å and the angles 86.39°, 78.12° and 61.28°. The asymmetric unit holds Ga at (0.0000, 0.0000, 0.0000), Ga at (0.4097, 0.3786, 0.8219), Si at (0.1301, 0.3788, 0.3811), Si at (0.8501, 0.0277, 0.2877) and S at (0.0491, 0.2825, 0.6369).

=====

Most stable: *B*

=====

*A*
Compound: Ga2Si2S
Source: Alexandria
Functional: GGA-PBE
Structure: optimized geometry

The value obtained for the density is 3.8 g cm⁻³.

The structure belongs to space group P1 (No. 1); the cell edges are 4.1168, 4.4226 and 5.8229 Å and the angles 69.39°, 86.78° and 89.36°. The asymmetric unit holds Ga at (0.0000, 0.0000, 0.0000), Ga at (0.4750, 0.7400, 0.5780), Si at (0.2087, 0.5108, 0.3090), Si at (0.9638, 0.0355, 0.5814) and S at (0.4706, 0.3389, 0.0127).

=====

*B*
Compound: Ga2Si2S
Source: Alexandria
Functional: GGA-PBE
Structure: optimized geometry

The value obtained for the density is 3.4 g cm⁻³.

The structure belongs to space group P1 (No. 1); the cell edges are 4.2860, 4.9180 and 5.6586 Å and the angles 105.64°, 99.55° and 99.57°. The asymmetric unit holds Ga at (0.0000, 0.0000, 0.0000), Ga at (0.0903, 0.2738, 0.4510), Si at (0.4610, 0.0938, 0.7843), Si at (0.7558, 0.5084, 0.7067) and S at (0.4713, 0.7155, 0.4545).

=====

*C*
Compound: Ga2Si2S
Source: Alexandria
Functional: GGA-PBE
Structure: optimized geometry

The value obtained for the density is 3.6 g cm⁻³.

The structure belongs to space group P1 (No. 1); the cell edges are 3.7349, 4.7219 and 6.3251 Å and the angles 85.14°, 72.86° and 89.97°. The asymmetric unit holds Ga at (0.0000, 0.0000, 0.0000), Ga at (0.2056, 0.9696, 0.5912), Si at (0.3250, 0.4240, 0.3510), Si at (0.8161, 0.7372, 0.3687) and S at (0.5006, 0.3359, 0.9984).

=====

*D*
Compound: Ga2Si2S
Source: Alexandria
Functional: GGA-PBE
Structure: optimized geometry

The value obtained for the density is 3.6 g cm⁻³.

The structure belongs to space group P3m1 (No. 156); the cell edges are 3.7918, 3.7918 and 8.4080 Å and the angles 90.00°, 90.00° and 120.00°. The asymmetric unit holds Ga at (0.0000, 0.0000, 0.0000), Ga at (0.3333, 0.6667, 0.8156), Si at (0.3333, 0.6667, 0.5243), Si at (0.6667, 0.3333, 0.4291) and S at (0.6667, 0.3333, 0.1647).

=====

Most stable: *C*